A.
An optimized crystal structure of BaLa2Br, computed with GGA-PBE.

```
BaLa2Br
1.0
3.728 0.000 0.000
0.000 3.728 0.000
0.000 0.000 10.769
Ba La Br
1 2 1
direct
0.000 0.000 0.000 Ba
0.500 0.500 0.310 La
0.500 0.500 0.690 La
0.000 0.000 0.500 Br
```

## Properties
As for the volume: 37.42 Å³ per atom. The space group is P4/mmm (123). For the density, the calculation gives 5.49 g cm⁻³.

=====

B.
An optimized crystal structure of BaLa2Br, computed with GGA-PBE.

```
BaLa2Br
1.0
0.000 4.177 4.177
4.177 0.000 4.177
4.177 4.177 0.000
Ba La Br
1 2 1
direct
0.000 0.000 0.000 Ba
0.250 0.250 0.250 La
0.750 0.750 0.750 La
0.500 0.500 0.500 Br
```

## Properties
As for the volume: 36.45 Å³ per atom. The space group is Fm-3m (225). For the density, the calculation gives 5.64 g cm⁻³.

=====

Quick one: most stable of them? A

=====

A.
An optimized crystal structure of BaLa2Br, computed with GGA-PBE.

```
BaLa2Br
1.0
5.622 0.000 0.000
0.000 3.781 0.000
-2.796 0.000 6.987
Ba La Br
1 2 1
direct
0.000 0.000 0.000 Ba
0.274 0.000 0.553 La
0.698 0.500 0.401 La
0.477 0.500 0.953 Br
```

## Properties
As for the volume: 37.13 Å³ per atom. The space group is Pm (6). For the density, the calculation gives 5.53 g cm⁻³.

=====

B.
An optimized crystal structure of BaLa2Br, computed with GGA-PBE.

```
BaLa2Br
1.0
3.772 0.000 0.000
0.000 5.885 0.000
0.000 0.000 6.720
Ba La Br
1 2 1
direct
0.000 0.000 0.000 Ba
0.000 0.500 0.500 La
0.500 0.000 0.500 La
0.500 0.500 0.000 Br
```

## Properties
As for the volume: 37.29 Å³ per atom. The space group is Pmmm (47). For the density, the calculation gives 5.51 g cm⁻³.

=====

C.
An optimized crystal structure of BaLa2Br, computed with GGA-PBE.

```
BaLa2Br
1.0
-1.909 3.270 6.241
1.909 -3.270 6.241
1.909 3.270 -6.241
Ba La Br
1 2 1
direct
0.000 0.000 0.000 Ba
0.431 0.431 0.000 La
0.697 0.197 0.500 La
0.229 0.729 0.500 Br
```

## Properties
As for the volume: 38.97 Å³ per atom. The space group is Imm2 (44). For the density, the calculation gives 5.27 g cm⁻³.

=====

Quick one: most stable of them? A

=====

A.
An optimized crystal structure of BaLa2Br, computed with GGA-PBE.

```
BaLa2Br
1.0
3.806 0.000 0.000
0.000 3.806 0.000
0.000 0.000 10.422
Ba La Br
1 2 1
direct
0.000 0.000 0.000 Ba
0.000 0.000 0.451 La
0.500 0.500 0.700 La
0.500 0.500 0.234 Br
```

## Properties
As for the volume: 37.74 Å³ per atom. The space group is P4mm (99). For the density, the calculation gives 5.45 g cm⁻³.

=====

B.
An optimized crystal structure of BaLa2Br, computed with GGA-PBE.

```
BaLa2Br
1.0
-2.540 2.540 5.579
2.540 -2.540 5.579
2.540 2.540 -5.579
Ba La Br
1 2 1
direct
0.000 0.000 0.000 Ba
0.500 0.500 0.000 La
0.750 0.250 0.500 La
0.250 0.750 0.500 Br
```

## Properties
As for the volume: 35.99 Å³ per atom. The space group is I-4m2 (119). For the density, the calculation gives 5.71 g cm⁻³.

=====

C.
An optimized crystal structure of BaLa2Br, computed with GGA-PBE.

```
BaLa2Br
1.0
4.680 0.000 0.000
0.000 4.680 0.000
0.000 0.000 7.874
Ba La Br
1 2 1
direct
0.000 0.000 0.000 Ba
0.000 0.500 0.500 La
0.500 0.000 0.500 La
0.500 0.500 0.000 Br
```

## Properties
As for the volume: 43.11 Å³ per atom. The space group is P4/mmm (123). For the density, the calculation gives 4.77 g cm⁻³.

=====

Quick one: most stable of them? A

=====

A.
An optimized crystal structure of BaLa3Br, computed with GGA-PBE.

```
BaLa3Br
1.0
6.044 0.000 0.000
0.000 6.044 0.000
0.000 0.000 6.044
Ba La Br
1 3 1
direct
0.000 0.000 0.000 Ba
0.000 0.000 0.500 La
0.000 0.500 0.000 La
0.500 0.000 0.000 La
0.500 0.500 0.500 Br
```

## Properties
As for the volume: 44.16 Å³ per atom. The space group is Pm-3m (221). For the density, the calculation gives 4.77 g cm⁻³.

=====

B.
An optimized crystal structure of BaLa3Br, computed with GGA-PBE.

```
BaLa3Br
1.0
5.879 0.000 0.000
0.000 5.879 0.000
0.000 0.000 5.879
Ba La Br
1 3 1
direct
0.000 0.000 0.000 Ba
0.000 0.500 0.500 La
0.500 0.000 0.500 La
0.500 0.500 0.000 La
0.500 0.500 0.500 Br
```

## Properties
As for the volume: 40.64 Å³ per atom. The space group is Pm-3m (221). For the density, the calculation gives 5.18 g cm⁻³.

=====

Quick one: most stable of them? B

=====

A.
An optimized crystal structure of BaLi2Br, computed with GGA-PBE.

```
BaLi2Br
1.0
0.000 3.997 3.997
3.997 0.000 3.997
3.997 3.997 0.000
Ba Li Br
1 2 1
direct
0.000 0.000 0.000 Ba
0.250 0.250 0.250 Li
0.750 0.750 0.750 Li
0.500 0.500 0.500 Br
```

## Properties
As for the volume: 31.92 Å³ per atom. The space group is Fm-3m (225). For the density, the calculation gives 3.01 g cm⁻³.

=====

B.
An optimized crystal structure of BaLi2Br, computed with GGA-PBE.

```
BaLi2Br
1.0
4.506 0.000 0.000
0.000 4.047 0.000
-2.211 0.000 7.026
Ba Li Br
1 2 1
direct
0.000 0.000 0.000 Ba
0.251 0.000 0.501 Li
0.685 0.500 0.369 Li
0.396 0.500 0.787 Br
```

## Properties
As for the volume: 32.03 Å³ per atom. The space group is Pm (6). For the density, the calculation gives 3.00 g cm⁻³.

=====

C.
An optimized crystal structure of BaLi2Br, computed with GGA-PBE.

```
BaLi2Br
1.0
4.774 -2.106 0.000
4.774 2.106 0.000
-4.253 0.000 6.826
Ba Li Br
1 2 1
direct
0.000 0.000 0.000 Ba
0.589 0.589 0.453 Li
0.853 0.853 0.357 Li
0.156 0.156 0.705 Br
```

## Properties
As for the volume: 34.31 Å³ per atom. The space group is Cm (8). For the density, the calculation gives 2.80 g cm⁻³.

=====

Quick one: most stable of them? B

=====

A.
An optimized crystal structure of BaLiBr3, computed with GGA-PBE.

```
BaLiBr3
1.0
5.219 0.000 0.000
0.000 5.219 0.000
0.000 0.000 5.219
Ba Li Br
1 1 3
direct
0.000 0.000 0.000 Ba
0.500 0.500 0.500 Li
0.000 0.500 0.500 Br
0.500 0.000 0.500 Br
0.500 0.500 0.000 Br
```

## Properties
As for the volume: 28.43 Å³ per atom. The space group is Pm-3m (221). For the density, the calculation gives 4.49 g cm⁻³.

=====

B.
An optimized crystal structure of BaLiBr3, computed with GGA-PBE.

```
BaLiBr3
1.0
6.304 0.000 0.000
0.000 6.304 0.000
0.000 0.000 6.304
Ba Li Br
1 1 3
direct
0.000 0.000 0.000 Ba
0.500 0.500 0.500 Li
0.000 0.000 0.500 Br
0.000 0.500 0.000 Br
0.500 0.000 0.000 Br
```

## Properties
As for the volume: 50.12 Å³ per atom. The space group is Pm-3m (221). For the density, the calculation gives 2.54 g cm⁻³.

=====

C.
An optimized crystal structure of BaLiBr3, computed with GGA-PBE.

```
BaLiBr3
1.0
5.674 0.000 0.000
0.000 9.163 3.235
0.000 -9.163 3.235
Ba Li Br
2 2 6
direct
0.250 0.138 0.862 Ba
0.750 0.862 0.138 Ba
0.250 0.420 0.564 Li
0.750 0.564 0.420 Li
0.250 0.093 0.499 Br
0.250 0.536 0.392 Br
0.250 0.824 0.955 Br
0.750 0.392 0.536 Br
0.750 0.499 0.093 Br
0.750 0.955 0.824 Br
```

## Properties
As for the volume: 33.63 Å³ per atom. The space group is Ama2 (40). For the density, the calculation gives 3.79 g cm⁻³.

=====

Quick one: most stable of them? C